The following is a PBE+U calculation of a relaxed structure of CeVAgO5, from Alexandria.

Final energy in eV per atom: -7.235

a b c (Å): 6.169 6.169 8.266
angles (deg): 108.56 108.56 94.38
Fractional positions:
Ce 0.000 0.000 0.500
Ce 0.000 0.000 0.000
V 0.644 0.356 0.250
V 0.356 0.644 0.750
Ag 0.315 0.685 0.250
Ag 0.685 0.315 0.750
O 0.074 0.926 0.250
O 0.926 0.074 0.750
O 0.777 0.267 0.091
O 0.223 0.733 0.909
O 0.733 0.223 0.409
O 0.267 0.777 0.591
O 0.721 0.662 0.360
O 0.279 0.338 0.640
O 0.338 0.279 0.140
O 0.662 0.721 0.860